This record from Alexandria via LeMat-Bulk describes Li2Si4Ni5O14 after structural relaxation. The functional is GGA+U.

a b c (Å): 5.3777 7.3616 7.9438
angles (deg): 114.12 91.19 104.18
With the nearest neighbours (Å) after each atom.
Positions (direct):
Li  0.2311  0.1017  0.4569  4 O 1.99-2.20
Li  0.7689  0.8983  0.5431  4 O 1.99-2.20
Si  0.2032  0.7837  0.6049  4 O 1.63-1.67
Si  0.4876  0.7805  0.1364  4 O 1.63-1.66
Si  0.5124  0.2195  0.8636  4 O 1.63-1.66
Si  0.7968  0.2163  0.3951  4 O 1.63-1.67
Ni  0.0000  0.0000  0.0000  4 O 1.98-2.01
Ni  0.0859  0.4108  0.8099  4 O 1.94-2.03
Ni  0.3679  0.4104  0.2947  5 O 2.02-2.09
Ni  0.6321  0.5896  0.7053  5 O 2.02-2.09
Ni  0.9141  0.5892  0.1901  4 O 1.94-2.03
O  0.0331  0.1866  0.2670  1 Si 1.64
O  0.1051  0.8101  0.4233  1 Si 1.63
O  0.1829  0.6774  0.0415  1 Si 1.64
O  0.2986  0.5773  0.5657  1 Si 1.63
O  0.3274  0.2163  0.0228  1 Si 1.63
O  0.4185  0.3379  0.7464  1 Si 1.66
O  0.4738  0.9753  0.7117  2 Si 1.66-1.67
O  0.5262  0.0247  0.2883  2 Si 1.66-1.67
O  0.5815  0.6621  0.2536  1 Si 1.66
O  0.6726  0.7837  0.9772  1 Si 1.63
O  0.7014  0.4227  0.4343  1 Si 1.63
O  0.8171  0.3226  0.9585  1 Si 1.64
O  0.8949  0.1899  0.5767  1 Si 1.63
O  0.9669  0.8134  0.7330  1 Si 1.64

Calculated total energy, eV per atom: -6.3051
Magnetization, Bohr magnetons per cell: 10.00
ρ, Mg/m³: 3.88